VASP calculation (PBE) on a relaxed structure of PtPb2Cl.

Calculated values
crystal system	orthorhombic
raw formation energy	-1.5	eV/f.u.
density	10.61	g cm⁻³
symmetry	Amm2 (38)
E above lowest polymorph	0.079	eV per atom

Lattice parameters (Å, degrees): 8.994 8.994 3.507 67.05 67.05 22.83
Fractional coordinates of all 4 atoms:
Pb 0.826 0.826 0.473
Pt 0.437 0.437 0.751
Pb 0.040 0.040 0.046
Cl 0.198 0.198 0.229